# 1
A plane-wave DFT calculation with PBE was carried out for RbBaMnH6 after structural relaxation.

Cell: 6.2314 5.3673 9.3318 Å, 90.00 90.00 90.00°
Space group Amm2 (No. 38)
Unique sites:
1 Rb 0.0000 0.0000 0.0000 x2
2 Ba 0.5000 0.0000 0.6674 x2
3 Mn 0.5000 0.0000 0.3347 x2
4 H 0.3342 0.0000 0.1983 x4
5 H 0.3355 0.2058 0.4033 x8

Values from the calculation:
Calculated density   3.02 g cm⁻³
Density of states at the Fermi level   4.12 states/eV/f.u.
Raw total energy   -3.694 eV/atom

=====

# 2
A plane-wave DFT calculation with PBE was carried out for AcCdRh after structural relaxation.

Cell: 3.5836 3.5836 11.7334 Å, 90.00 90.00 90.00°
Space group I4mm (No. 107)
Unique sites:
1 Ac 0.0000 0.0000 0.0000 x2
2 Cd 0.0000 0.0000 0.2801 x2
3 Rh 0.0000 0.0000 0.6528 x2

Values from the calculation:
Calculated density   9.75 g cm⁻³
Density of states at the Fermi level   2.10 states/eV/f.u.
Relative energy among the computed polymorphs   217 meV per atom
DFT formation energy   -85 kJ/mol of formula units

=====

# 3
A plane-wave DFT calculation with PBE was carried out for ErFe4B4 after structural relaxation.

Cell: 5.0112 5.0112 6.9310 Å, 90.00 90.00 90.00°
Space group P4_2/nmc (No. 137, origin choice 2)
Unique sites:
1 Er 0.2500 0.7500 0.2500 x2
2 Fe 0.0066 0.7500 0.6170 x8
3 B 0.0743 0.2500 0.0928 x8

Values from the calculation:
Calculated density   8.28 g cm⁻³
Density of states at the Fermi level   7.18 states/eV/f.u.
Relative energy among the computed polymorphs   36 meV per atom
DFT formation energy   -393 kJ/mol of formula units

=====

# 4
A plane-wave DFT calculation with PBE was carried out for CoCu2Os after structural relaxation.

Cell: 5.8317 5.8317 5.8317 Å, 90.00 90.00 90.00°
Space group Fm-3m (No. 225)
Unique sites:
1 Co 0.0000 0.0000 0.0000 x4
2 Cu 0.2500 0.2500 0.2500 x8
3 Os 0.0000 0.0000 0.5000 x4

Values from the calculation:
Calculated density   12.60 g cm⁻³
Density of states at the Fermi level   6.21 states/eV/f.u.
Relative energy among the computed polymorphs   345 meV per atom
DFT formation energy   200 kJ/mol of formula units

=====

# 5
A plane-wave DFT calculation with PBE was carried out for NaGaSn6 after structural relaxation.

Cell: 6.6495 10.0043 6.6069 Å, 90.00 106.01 90.00°
Space group C2/m (No. 12)
Unique sites:
1 Na 0.0000 0.0000 0.0000 x2
2 Ga 0.0000 0.5000 0.0000 x2
3 Sn 0.1294 0.2753 0.7533 x8
4 Sn 0.2402 0.0000 0.5402 x4

Values from the calculation:
Calculated density   6.33 g cm⁻³
Density of states at the Fermi level   2.36 states/eV/f.u.
DFT formation energy   -12 kJ/mol of formula units

=====

# 6
A plane-wave DFT calculation with PBE was carried out for ZrHgSe2N after structural relaxation.

Cell: 5.3756 5.3756 4.1442 Å, 90.00 90.00 90.00°
Space group P4/mmm (No. 123)
Unique sites:
1 Zr 0.0000 0.0000 0.0000 x1
2 Hg 0.5000 0.5000 0.5000 x1
3 Se 0.0000 0.5000 0.0000 x2
4 N 0.0000 0.0000 0.5000 x1

Values from the calculation:
Calculated density   6.43 g cm⁻³
Density of states at the Fermi level   3.11 states/eV/f.u.
Formation energy (no corrections)   -0.056 eV/atom
Relative energy among the computed polymorphs   0 meV per atom

=====

# 7
A plane-wave DFT calculation with PBE was carried out for CePm2Nd after structural relaxation.

Cell: 5.1207 5.1207 5.1183 Å, 90.00 90.00 90.00°
Space group P4/mmm (No. 123)
Unique sites:
1 Ce 0.0000 0.0000 0.0000 x1
2 Pm 0.0000 0.5000 0.5000 x2
3 Nd 0.5000 0.5000 0.0000 x1

Values from the calculation:
Calculated density   7.11 g cm⁻³
Density of states at the Fermi level   9.01 states/eV/f.u.
Relative energy among the computed polymorphs   18 meV per atom
DFT formation energy   31 kJ/mol of formula units

=====

# 8
A plane-wave DFT calculation with PBE was carried out for Ac2Pr2Ni15 after structural relaxation.

Cell: 8.7827 8.7827 12.9294 Å, 90.00 90.00 120.00°
Space group R-3m (No. 166, hexagonal axes)
Unique sites:
1 Ac 0.0000 0.0000 0.1412 x6
2 Pr 0.0000 0.0000 0.3887 x6
3 Ni 0.0000 0.3090 0.5000 x18
4 Ni 0.0000 0.5000 0.0000 x9
5 Ni 0.0095 0.5048 0.6579 x18

Values from the calculation:
Calculated density   9.32 g cm⁻³
Density of states at the Fermi level   26.10 states/eV/f.u.
DFT formation energy   -161 kJ/mol of formula units

=====

# 9
A plane-wave DFT calculation with PBE was carried out for LiAc2P3Ir4 after structural relaxation.

Cell: 4.1764 4.1764 10.1983 Å, 90.00 90.00 90.00°
Space group P-4m2 (No. 115)
Unique sites:
1 Li 0.0000 0.0000 0.0000 x1
2 Ac 0.0000 0.5000 0.7591 x2
3 P 0.0000 0.5000 0.3671 x2
4 P 0.5000 0.5000 0.0000 x1
5 Ir 0.0000 0.0000 0.5000 x1
6 Ir 0.0000 0.5000 0.1339 x2
7 Ir 0.5000 0.5000 0.5000 x1

Values from the calculation:
Calculated density   12.35 g cm⁻³
Density of states at the Fermi level   2.76 states/eV/f.u.
DFT formation energy   -813 kJ/mol of formula units

=====

# 10
A plane-wave DFT calculation with PBE was carried out for Rb2AlSbBr6 after structural relaxation.

Cell: 7.9357 7.9357 11.2409 Å, 90.00 90.00 90.00°
Space group I4/mmm (No. 139)
Unique sites:
1 Rb 0.0000 0.5000 0.2500 x4
2 Al 0.0000 0.0000 0.0000 x2
3 Sb 0.0000 0.0000 0.5000 x2
4 Br 0.0000 0.0000 0.2396 x4
5 Br 0.2401 0.2401 0.0000 x8

Values from the calculation:
Calculated density   3.75 g cm⁻³
Density of states at the Fermi level   1.02 states/eV/f.u.
Formation energy (no corrections)   -1.044 eV/atom

=====

# 11
A plane-wave DFT calculation with PBE was carried out for TlCl5 after structural relaxation.

Cell: 3.8677 5.2911 10.0873 Å, 90.00 90.43 90.00°
Space group Pm (No. 6)
Unique sites:
1 Tl 0.0000 0.0000 0.0000 x1
2 Cl 0.0195 0.5000 0.5986 x1
3 Cl 0.4865 0.0000 0.8216 x1
4 Cl 0.4953 0.0000 0.1784 x1
5 Cl 0.9055 0.5000 0.4056 x1
6 Cl 0.9308 0.5000 0.9970 x1

Values from the calculation:
Calculated density   3.07 g cm⁻³
Formation energy (no corrections)   -0.387 eV/atom
Relative energy among the computed polymorphs   0 meV per atom

=====

Repeat the first record exactly.
A plane-wave DFT calculation with PBE was carried out for RbBaMnH6 after structural relaxation.

Cell: 6.2314 5.3673 9.3318 Å, 90.00 90.00 90.00°
Space group Amm2 (No. 38)
Unique sites:
1 Rb 0.0000 0.0000 0.0000 x2
2 Ba 0.5000 0.0000 0.6674 x2
3 Mn 0.5000 0.0000 0.3347 x2
4 H 0.3342 0.0000 0.1983 x4
5 H 0.3355 0.2058 0.4033 x8

Values from the calculation:
Calculated density   3.02 g cm⁻³
Density of states at the Fermi level   4.12 states/eV/f.u.
Raw total energy   -3.694 eV/atom

=====

Q: The lowest calculated density belongs to which entry?
A: RbBaMnH6